This record from Alexandria via LeMat-Bulk describes crystalline Pu3HfSe6 at its relaxed geometry. The functional is PBE-GGA.

It has space group Cmc2_1 (No. 36), with a = 11.395 Å, b = 13.804 Å, c = 6.896 Å, α = 90.00°, β = 90.00° and γ = 90.00°. Symmetry generates all atoms from Pu at (0.000, 0.103, 0.000), Pu at (0.185, 0.399, 0.106), Hf at (0.000, 0.341, 0.624), Se at (0.000, 0.269, 0.280), Se at (0.000, 0.493, 0.869), Se at (0.161, 0.030, 0.304) and Se at (0.162, 0.247, 0.790).

The value obtained for the total energy is -8.7016 eV per atom. The calculation puts the formation energy from raw total energies at -127.0 kJ per mole of atoms. The calculated volume is 27.1 Å³ per atom. The value obtained for the spin magnetization is 22.41 Bohr magnetons per cell.